1.
Compound: AcSF
Source: Alexandria
Functional: PBE-GGA
Structure: relaxed

a b c (Å): 4.293 4.293 4.147
angles (deg): 90.00 90.00 120.00
Fractional positions:
Ac: 0.000 0.000 0.000
S: 0.667 0.333 0.500
F: 0.333 0.667 0.000

## Properties
energy relative to the lowest polymorph listed for this composition: 1.16 kcal/mol of atoms
symmetry: No. 187
density of states at the Fermi level: 0.0 states/eV per cell
E: -6.45 eV per atom

2.
Compound: Na2CeCdS4
Source: Alexandria
Functional: PBE-GGA
Structure: relaxed

a b c (Å): 6.774 4.033 7.108
angles (deg): 90.00 109.68 90.00
Fractional positions:
Na: 0.000 0.000 0.000
Na: 0.500 0.500 0.000
Ce: 0.000 0.500 0.500
Cd: 0.500 0.000 0.500
S: 0.234 0.000 0.734
S: 0.258 0.500 0.277
S: 0.742 0.500 0.723
S: 0.766 0.000 0.266

## Properties
symmetry: No. 10
E: -4.53 eV per atom

3.
Compound: CsSbTeH3
Source: Alexandria
Functional: PBE-GGA
Structure: relaxed

a b c (Å): 6.467 4.201 6.522
angles (deg): 90.00 114.87 90.00
Fractional positions:
Cs: 0.000 0.000 0.000
Sb: 0.561 0.500 0.428
Te: 0.008 0.500 0.507
H: 0.450 0.000 0.893
H: 0.509 0.000 0.021
H: 0.610 0.500 0.715

## Properties
energy relative to the lowest polymorph listed for this composition: 0.98 kcal/mol of atoms
symmetry: No. 6
density of states at the Fermi level: 0.9 states/eV per cell
E: -3.21 eV per atom

4.
Compound: Ho3GaCu2
Source: Alexandria
Functional: PBE-GGA
Structure: relaxed

a b c (Å): 4.939 4.939 12.120
angles (deg): 90.00 90.00 120.00
Fractional positions:
Ho: 0.000 0.000 0.244
Ho: 0.000 0.000 0.756
Ho: 0.333 0.667 0.416
Ho: 0.333 0.667 0.922
Ho: 0.667 0.333 0.078
Ho: 0.667 0.333 0.584
Ga: 0.333 0.667 0.669
Ga: 0.667 0.333 0.331
Cu: 0.000 0.000 0.000
Cu: 0.000 0.000 0.500
Cu: 0.333 0.667 0.168
Cu: 0.667 0.333 0.832

## Properties
symmetry: No. 164
density of states at the Fermi level: 6.6 states/eV per cell
E: -4.53 eV per atom
formation enthalpy at 0 K: -370 meV per atom

5.
Compound: Y2Pd4Rh
Source: Alexandria
Functional: PBE-GGA
Structure: relaxed

a b c (Å): 5.664 5.664 8.453
angles (deg): 90.00 90.00 90.00
Fractional positions:
Y: 0.000 0.500 0.000
Y: 0.000 0.500 0.500
Y: 0.500 0.000 0.000
Y: 0.500 0.000 0.500
Pd: 0.250 0.250 0.250
Pd: 0.250 0.250 0.750
Pd: 0.250 0.750 0.250
Pd: 0.250 0.750 0.750
Pd: 0.750 0.250 0.250
Pd: 0.750 0.250 0.750
Pd: 0.750 0.750 0.250
Pd: 0.750 0.750 0.750
Rh: 0.000 0.000 0.000
Rh: 0.500 0.500 0.500

## Properties
symmetry: No. 139
density of states at the Fermi level: 8.6 states/eV per cell
E: -6.55 eV per atom
formation enthalpy at 0 K: -688 meV per atom

6.
Compound: Dy2Mn2ZnNi5
Source: Alexandria
Functional: PBE-GGA
Structure: relaxed

a b c (Å): 9.132 9.132 3.628
angles (deg): 90.00 90.00 90.00
Fractional positions:
Dy: 0.181 0.319 0.000
Dy: 0.319 0.819 0.000
Dy: 0.681 0.181 0.000
Dy: 0.819 0.681 0.000
Mn: 0.118 0.618 0.000
Mn: 0.382 0.118 0.000
Mn: 0.618 0.882 0.000
Mn: 0.882 0.382 0.000
Zn: 0.000 0.000 0.000
Zn: 0.500 0.500 0.000
Ni: 0.000 0.500 0.500
Ni: 0.058 0.795 0.500
Ni: 0.205 0.058 0.500
Ni: 0.295 0.558 0.500
Ni: 0.442 0.295 0.500
Ni: 0.500 0.000 0.500
Ni: 0.558 0.705 0.500
Ni: 0.705 0.442 0.500
Ni: 0.795 0.942 0.500
Ni: 0.942 0.205 0.500

## Properties
symmetry: No. 127
density of states at the Fermi level: 13.9 states/eV per cell
E: -5.90 eV per atom
formation enthalpy at 0 K: -132 meV per atom